Record 1
DFT (PBE-GGA) results for a relaxed structure of HfTaBe.

## Properties
The space group is F-43m, No. 216. As for the distance to the lowest polymorph of the same formula: 0.000 eV/atom.

Unit cell a=4.189 b=4.189 c=4.189 alpha=60.00 beta=60.00 gamma=60.00
Positions (direct):
Hf (0.250, 0.250, 0.250)
Be (0.000, 0.000, 0.000)
Ta (0.750, 0.750, 0.750)


Record 2
DFT (PBE-GGA) results for a relaxed structure of HfTa2Be.

## Properties
The space group is F-43m, No. 216.

Unit cell a=4.595 b=4.595 c=4.595 alpha=60.00 beta=60.00 gamma=60.00
Positions (direct):
Ta (0.000, 0.000, 0.000)
Ta (0.750, 0.750, 0.750)
Be (0.500, 0.500, 0.500)
Hf (0.250, 0.250, 0.250)


no.,energy (eV/atom)
1,-8.201
2,-9.145